First-principles (PBE) data for crystalline Ac4Ga2N at its relaxed geometry, as listed in Alexandria.

Cell lengths 5.2264, 5.2264, 8.9743 Å; angles 106.93, 106.93, 90.00 degrees
With the nearest neighbours (Å) after each atom.
Atoms (fractional coordinates):
Ac 0.5000 0.0000 0.0000  2 N 2.61
Ac 0.8259 0.8259 0.6518  1 N 2.85
Ac 0.1741 0.1741 0.3482  1 N 2.85
Ac 0.0000 0.5000 0.0000  2 N 2.61
Ga 0.6301 0.6301 0.2602  5 Ac 3.20-3.37
Ga 0.3699 0.3699 0.7398  5 Ac 3.20-3.37
N 0.0000 0.0000 0.0000  6 Ac 2.61-2.85

Summary:
D(E_F) in states/eV/cell: 5.6
V in Å³ per cell: 223.4
Total DFT energy (no corrections) in eV per atom: -4.935
Formation energy without anion corrections in eV per formula unit: -3.732